No. 1
BaAg2Ge2 | Alexandria | PBE-GGA | optimized geometry; Fermi-level density of states = 2.97 states/eV/f.u.; calculated formation energy = -0.24 kJ/mol of atoms; total magnetic moment = 0.000 μB/atom; ρ = 7.255 g/cm3; E = -33.7 eV for the cell shown
1.0
8.502 0.000 0.000
0.000 8.502 0.000
0.000 0.000 3.155
Ba Ag Ge
2 4 4
Cartesian
0.000 0.000 0.000 Ba
4.251 4.251 0.000 Ba
1.026 3.226 0.000 Ag
3.226 7.477 0.000 Ag
5.277 1.026 0.000 Ag
7.477 5.277 0.000 Ag
1.425 5.676 1.578 Ge
2.826 1.425 1.578 Ge
5.676 7.078 1.578 Ge
7.078 2.826 1.578 Ge


No. 2
Ba2AgGe2 | Alexandria | PBE-GGA | optimized geometry; Fermi-level density of states = 3.28 states/eV/f.u.; calculated formation energy = -31.76 kJ/mol of atoms; offset from the most stable computed form = 23.0 kJ/mol of formula units; total magnetic moment = 0.000 μB/atom; ρ = 5.421 g/cm3; E = -35.2 eV for the cell shown
1.0
8.321 0.000 0.000
0.000 8.321 0.000
0.000 0.000 4.670
Ba Ag Ge
4 2 4
Cartesian
1.561 2.600 0.000 Ba
2.600 6.760 0.000 Ba
5.722 1.561 0.000 Ba
6.760 5.722 0.000 Ba
0.000 0.000 2.335 Ag
4.161 4.161 2.335 Ag
0.870 5.031 2.335 Ge
3.291 0.870 2.335 Ge
5.031 7.452 2.335 Ge
7.452 3.291 2.335 Ge


No. 3
BaAg3Ge3 | Alexandria | PBE-GGA | optimized geometry; Fermi-level density of states = 5.35 states/eV/f.u.; calculated formation energy = 5.69 kJ/mol of atoms; total magnetic moment = 0.000 μB/atom; ρ = 5.983 g/cm3; E = -47.8 eV for the cell shown
1.0
7.223 0.000 0.000
0.000 7.223 0.000
0.000 0.000 7.223
Ba Ag Ge
2 6 6
Cartesian
0.000 0.000 0.000 Ba
3.611 3.611 3.611 Ba
0.000 1.806 3.611 Ag
0.000 5.417 3.611 Ag
1.806 3.611 0.000 Ag
3.611 0.000 1.806 Ag
3.611 0.000 5.417 Ag
5.417 3.611 0.000 Ag
0.000 3.611 1.806 Ge
0.000 3.611 5.417 Ge
1.806 0.000 3.611 Ge
3.611 1.806 0.000 Ge
3.611 5.417 0.000 Ge
5.417 0.000 3.611 Ge


No. 4
Ba2AgGe | Alexandria | PBE-GGA | optimized geometry; Fermi-level density of states = 3.72 states/eV/f.u.; calculated formation energy = -36.35 kJ/mol of atoms; total magnetic moment = 0.000 μB/atom; ρ = 5.283 g/cm3; E = -25.6 eV for the cell shown
1.0
6.645 0.000 0.000
0.000 4.862 0.000
-3.173 0.000 8.854
Ba Ag Ge
4 2 2
Cartesian
-0.011 1.216 3.806 Ba
1.672 3.647 0.636 Ba
1.800 1.216 8.219 Ba
3.483 3.647 5.048 Ba
-0.114 3.647 6.422 Ag
3.586 1.216 2.433 Ag
-1.476 1.216 6.935 Ge
4.948 3.647 1.919 Ge


No. 5
Ba6Ag5Ge | Alexandria | PBE-GGA | optimized geometry; Fermi-level density of states = 9.41 states/eV/f.u.; calculated formation energy = -27.48 kJ/mol of atoms; total magnetic moment = 0.000 μB/atom; ρ = 5.716 g/cm3; E = -33.8 eV for the cell shown
1.0
-2.894 4.137 8.710
2.894 -4.137 8.710
2.894 4.137 -8.710
Ba Ag Ge
6 5 1
Cartesian
2.894 2.025 -2.818 Ba
0.000 1.986 0.000 Ba
2.894 2.025 2.818 Ba
0.000 2.112 5.892 Ba
0.000 6.288 0.000 Ba
0.000 2.112 11.528 Ba
0.000 0.000 3.007 Ag
2.894 0.000 5.786 Ag
0.000 0.000 8.710 Ag
0.000 4.137 2.925 Ag
0.000 0.000 14.414 Ag
2.894 0.000 0.000 Ge


No. 6
Ba3Ag4Ge4 | Alexandria | PBE-GGA | optimized geometry; Fermi-level density of states = 8.38 states/eV/f.u.; calculated formation energy = -29.13 kJ/mol of atoms; offset from the most stable computed form = 73.9 kJ/mol of formula units; total magnetic moment = 0.000 μB/atom; ρ = 6.303 g/cm3; E = -39.0 eV for the cell shown
1.0
4.688 0.000 0.000
0.013 4.750 0.000
2.343 2.346 13.416
Ba Ag Ge
3 4 4
Cartesian
0.000 0.000 0.000 Ba
2.355 4.741 4.064 Ba
4.689 2.355 9.352 Ba
2.349 4.717 8.115 Ag
2.354 2.375 1.456 Ag
4.690 4.720 11.960 Ag
4.695 2.379 5.302 Ag
2.346 4.723 10.811 Ge
2.351 2.338 6.710 Ge
4.693 4.758 6.706 Ge
4.698 2.373 2.605 Ge


No. 7
Ba3AgGe | Alexandria | PBE-GGA | optimized geometry; Fermi-level density of states = 3.51 states/eV/f.u.; calculated formation energy = -21.80 kJ/mol of atoms; offset from the most stable computed form = 0.0 kJ/mol of formula units; total magnetic moment = 0.000 μB/atom; ρ = 4.614 g/cm3; E = -28.7 eV for the cell shown
1.0
4.752 0.000 0.000
-0.001 9.943 0.000
0.000 -4.199 9.025
Ba Ag Ge
6 2 2
Cartesian
0.000 0.000 0.000 Ba
4.752 -0.920 5.235 Ba
2.371 0.512 8.343 Ba
2.371 4.311 5.912 Ba
4.745 2.100 3.298 Ba
4.745 6.918 1.940 Ba
2.369 4.508 2.616 Ag
2.378 -2.560 7.129 Ag
2.371 -0.469 2.606 Ge
4.747 2.394 7.100 Ge


No. 8
Ba2Ag2Ge | Alexandria | PBE-GGA | optimized geometry; Fermi-level density of states = 1.90 states/eV/f.u.; calculated formation energy = -22.71 kJ/mol of atoms; offset from the most stable computed form = 48.8 kJ/mol of formula units; total magnetic moment = 0.000 μB/atom; ρ = 5.951 g/cm3; E = -15.3 eV for the cell shown
1.0
-1.995 1.995 9.865
1.995 -1.995 9.865
1.995 1.995 -9.865
Ba Ag Ge
2 2 1
Cartesian
0.000 0.000 2.001 Ba
0.000 0.000 17.730 Ba
1.995 0.000 4.933 Ag
0.000 1.995 4.933 Ag
0.000 0.000 9.865 Ge


No. 9
Ba2Ag2Ge3 | Alexandria | PBE-GGA | optimized geometry; Fermi-level density of states = 1.67 states/eV/f.u.; calculated formation energy = -31.75 kJ/mol of atoms; total magnetic moment = 0.000 μB/atom; ρ = 6.083 g/cm3; E = -25.7 eV for the cell shown
1.0
6.089 -2.286 0.000
6.089 2.286 0.000
-1.473 0.000 6.945
Ba Ag Ge
2 2 3
Cartesian
1.821 0.000 1.587 Ba
8.883 0.000 5.358 Ba
0.002 0.000 4.829 Ag
10.703 0.000 2.116 Ag
5.030 0.000 0.686 Ge
5.352 0.000 3.473 Ge
5.675 0.000 6.259 Ge


No. 10
Ba2Ag2Ge | Alexandria | PBE-GGA | optimized geometry; Fermi-level density of states = 3.66 states/eV/f.u.; calculated formation energy = -18.53 kJ/mol of atoms; offset from the most stable computed form = 69.7 kJ/mol of formula units; total magnetic moment = 0.000 μB/atom; ρ = 6.006 g/cm3; E = -30.3 eV for the cell shown
1.0
8.096 0.000 0.000
0.000 8.096 0.000
0.000 0.000 4.750
Ba Ag Ge
4 4 2
Cartesian
1.510 2.538 0.000 Ba
2.538 6.586 0.000 Ba
5.558 1.510 0.000 Ba
6.586 5.558 0.000 Ba
0.984 5.032 2.375 Ag
3.064 0.984 2.375 Ag
5.032 7.112 2.375 Ag
7.112 3.064 2.375 Ag
0.000 0.000 2.375 Ge
4.048 4.048 2.375 Ge


No. 11
BaAgGe3 | Alexandria | PBE-GGA | optimized geometry; Fermi-level density of states = 3.43 states/eV/f.u.; calculated formation energy = 16.98 kJ/mol of atoms; total magnetic moment = 0.000 μB/atom; ρ = 5.565 g/cm3; E = -17.7 eV for the cell shown
1.0
5.170 0.000 0.000
0.000 5.170 0.000
0.000 0.000 5.170
Ba Ag Ge
1 1 3
Cartesian
0.000 0.000 0.000 Ba
2.585 2.585 2.585 Ag
0.000 2.585 2.585 Ge
2.585 0.000 2.585 Ge
2.585 2.585 0.000 Ge


No. 12
Ba3AgGe2 | Alexandria | PBE-GGA | optimized geometry; Fermi-level density of states = 3.33 states/eV/f.u.; calculated formation energy = -39.96 kJ/mol of atoms; total magnetic moment = 0.000 μB/atom; ρ = 5.171 g/cm3; E = -81.4 eV for the cell shown
1.0
6.661 0.000 0.000
0.000 11.900 0.000
-3.250 0.000 10.778
Ba Ag Ge
12 4 8
Cartesian
0.074 2.731 3.660 Ba
-1.551 3.219 9.049 Ba
-1.749 7.211 10.493 Ba
-0.124 10.638 5.104 Ba
0.015 6.323 6.508 Ba
1.639 11.526 1.119 Ba
1.772 0.373 9.658 Ba
3.397 5.577 4.269 Ba
3.536 1.262 5.673 Ba
5.161 4.688 0.285 Ba
4.962 8.681 1.729 Ba
3.337 9.169 7.118 Ba
1.655 8.333 3.160 Ag
0.031 9.516 8.549 Ag
3.381 2.384 2.229 Ag
1.756 3.566 7.617 Ag
0.294 6.040 2.959 Ge
-1.331 11.810 8.348 Ge
0.287 1.525 6.814 Ge
1.911 4.425 1.425 Ge
1.500 7.475 9.353 Ge
3.125 10.374 3.964 Ge
4.743 0.090 2.430 Ge
3.118 5.860 7.819 Ge